## w
Hf2Be2Fe | Alexandria | GGA-PBE | optimized geometry; SG = P4/mbm, No. 127
1.0
7.085 0.000 0.000
0.000 7.085 0.000
0.000 0.000 2.991
Fe Be Hf
2 4 4
Direct
0.000 0.000 0.000
0.500 0.500 0.000
0.602 0.898 0.500
0.102 0.602 0.500
0.898 0.398 0.500
0.398 0.102 0.500
0.813 0.687 0.000
0.687 0.187 0.000
0.187 0.313 0.000
0.313 0.813 0.000


## x
Hf2Be2Fe | Alexandria | GGA-PBE | optimized geometry; SG = P4/mbm, No. 127
1.0
6.343 0.000 0.000
0.000 6.343 0.000
0.000 0.000 3.486
Be Hf Fe
4 4 2
Direct
0.882 0.618 0.000
0.382 0.882 0.000
0.118 0.382 0.000
0.618 0.118 0.000
0.819 0.319 0.500
0.181 0.681 0.500
0.319 0.181 0.500
0.681 0.819 0.500
0.500 0.500 0.000
0.000 0.000 0.000


x wins, 531 meV per atom ahead of the next structure.


## w
HfBe2Fe | Alexandria | GGA-PBE | optimized geometry; SG = Fm-3m, No. 225
1.0
0.000 2.881 2.881
2.881 0.000 2.881
2.881 2.881 0.000
Be Fe Hf
2 1 1
Direct
0.750 0.750 0.750
0.250 0.250 0.250
0.000 0.000 0.000
0.500 0.500 0.500


## x
HfBe2Fe | Alexandria | GGA-PBE | optimized geometry; SG = I4_1/amd, No. 141
1.0
-3.163 0.439 -2.106
-2.151 -0.743 3.076
-2.767 7.144 2.169
Fe Be Hf
2 4 2
Direct
0.500 0.500 0.000
0.250 0.750 0.500
0.375 0.625 0.250
0.875 0.625 0.750
0.375 0.125 0.250
0.375 0.625 0.750
0.750 0.250 0.500
0.000 0.000 0.000


w wins, 352 meV per atom ahead of the next structure.


## w
HfBe2NbFe | Alexandria | GGA-PBE | optimized geometry; SG = P4/mmm, No. 123
1.0
4.370 0.000 0.000
0.000 4.370 0.000
0.000 0.000 4.801
Nb Fe Hf Be
1 1 1 2
Direct
0.000 0.000 0.000
0.500 0.500 0.500
0.000 0.000 0.500
0.000 0.500 0.000
0.500 0.000 0.000


## x
HfBe2NbFe | Alexandria | GGA-PBE | optimized geometry; SG = P4/mmm, No. 123
1.0
4.113 0.000 0.000
0.000 4.488 0.000
0.000 0.000 4.113
Be Hf Nb Fe
2 1 1 1
Direct
0.000 0.000 0.500
0.500 0.000 0.000
0.000 0.500 0.000
0.500 0.500 0.500
0.000 0.000 0.000


x wins, 1238 meV per atom ahead of the next structure.


## w
BeFe2Hg | Alexandria | GGA-PBE | optimized geometry; SG = P4/mmm, No. 123
1.0
2.874 0.000 0.000
0.000 2.874 0.000
0.000 0.000 6.315
Fe Be Hg
2 1 1
Direct
0.000 0.000 0.564
0.000 0.000 0.936
0.500 0.500 0.750
0.500 0.500 0.250


## x
BeFe2Hg | Alexandria | GGA-PBE | optimized geometry; SG = P4/mmm, No. 123
1.0
3.610 0.000 0.000
0.000 3.609 0.000
0.000 0.000 4.061
Fe Hg Be
2 1 1
Direct
0.000 0.000 0.000
0.500 0.500 0.000
0.500 0.000 0.500
0.000 0.500 0.500


## y
BeFe2Hg | Alexandria | GGA-PBE | optimized geometry; SG = Immm, No. 71
1.0
4.860 0.011 -0.006
2.179 4.345 0.006
-3.205 -2.685 2.477
Fe Hg Be
2 1 1
Direct
0.017 0.017 0.000
0.483 0.483 0.000
0.750 0.250 0.500
0.250 0.750 0.500


w wins, 45 meV per atom ahead of the next structure.


## w
Be2Fe2Hg | Alexandria | GGA-PBE | optimized geometry; SG = I4/mmm, No. 139
1.0
-3.088 -0.440 -1.704
-0.409 -3.168 1.559
-4.101 0.326 3.641
Be Fe Hg
2 2 1
Direct
0.387 0.387 0.226
0.613 0.613 0.774
0.250 0.750 0.500
0.750 0.250 0.500
0.000 0.000 0.000


## x
Be2Fe2Hg | Alexandria | GGA-PBE | optimized geometry; SG = P4/mbm, No. 127
1.0
6.316 0.000 0.000
0.000 6.316 0.000
0.000 0.000 2.965
Be Hg Fe
4 2 4
Direct
0.881 0.619 0.000
0.119 0.381 0.000
0.381 0.881 0.000
0.619 0.119 0.000
0.500 0.500 0.000
0.000 0.000 0.000
0.663 0.837 0.500
0.837 0.337 0.500
0.337 0.163 0.500
0.163 0.663 0.500


x wins, 178 meV per atom ahead of the next structure.


## w
HoBeFe | Alexandria | GGA-PBE | optimized geometry; SG = P-6m2, No. 187
1.0
3.832 0.000 0.000
0.000 3.833 0.000
0.000 -1.916 3.319
Ho Be Fe
1 1 1
Direct
0.667 0.333 0.667
0.167 0.000 0.000
0.167 0.667 0.333


## x
HoBeFe | Alexandria | GGA-PBE | optimized geometry; SG = Cmcm, No. 63
1.0
-1.733 -3.990 2.523
4.741 -2.407 -0.549
1.992 3.495 1.885
Be Fe Ho
2 2 2
Direct
0.739 0.750 0.477
0.261 0.250 0.523
0.000 0.000 0.000
0.000 0.500 0.000
0.647 0.250 0.295
0.353 0.750 0.705


w wins, 193 meV per atom ahead of the next structure.